Model A:
Li8BiO6: optimized geometry, PBE-GGA.

```
data_Li8BiO6
_cell_length_a 5.8351
_cell_length_b 5.8351
_cell_length_c 11.0023
_cell_angle_alpha 90.00
_cell_angle_beta 90.00
_cell_angle_gamma 120.00
_symmetry_space_group_name_H-M 'P 63 c m'
_symmetry_Int_Tables_number 185
_symmetry_space_group_name_Hall 'P 6c -2'
loop_
_atom_site_label
_atom_site_fract_x
_atom_site_fract_y
_atom_site_fract_z
Li1 0.0000 0.3211 0.0000
Li2 0.0000 0.4150 0.3594
Li3 0.3333 0.6667 0.1346
Bi1 0.0000 0.0000 0.2232
O1 0.0000 0.0000 0.4204
O2 0.0000 0.3565 0.1811
O3 0.3333 0.6667 0.4454
```

=====

Model B:
Li8BiO6: optimized geometry, PBE-GGA.

```
data_Li8BiO6
_cell_length_a 5.6609
_cell_length_b 5.6609
_cell_length_c 16.1651
_cell_angle_alpha 90.00
_cell_angle_beta 90.00
_cell_angle_gamma 120.00
_symmetry_space_group_name_H-M 'R -3'
_symmetry_Int_Tables_number 148
_symmetry_space_group_name_Hall '-R 3'
loop_
_atom_site_label
_atom_site_fract_x
_atom_site_fract_y
_atom_site_fract_z
Li1 0.0000 0.0000 0.1461
Li2 0.0157 0.3113 0.7115
Bi1 0.0000 0.0000 0.5000
O1 0.0048 0.3554 0.2523
```

=====

Computed energies relative to the best structure, in eV/atom: model A 0.039; model B 0.000

=====

Model A:
LiBi3O6: optimized geometry, PBE-GGA.

```
data_LiBi3O6
_cell_length_a 10.801
_cell_length_b 10.801
_cell_length_c 10.801
_cell_angle_alpha 90.00
_cell_angle_beta 90.00
_cell_angle_gamma 90.00
_symmetry_space_group_name_H-M 'I 21 3'
_symmetry_Int_Tables_number 199
_symmetry_space_group_name_Hall 'I 2b 2c 3'
loop_
_atom_site_label
_atom_site_fract_x
_atom_site_fract_y
_atom_site_fract_z
Li1 0.234 0.266 0.734
Bi1 0.000 0.250 0.463
Bi2 0.000 0.250 0.964
O1 0.088 0.355 0.115
O2 0.119 0.377 0.843
```

=====

Model B:
LiBi3O6: optimized geometry, PBE-GGA.

```
data_LiBi3O6
_cell_length_a 5.704
_cell_length_b 6.226
_cell_length_c 9.708
_cell_angle_alpha 90.00
_cell_angle_beta 125.31
_cell_angle_gamma 90.00
_symmetry_space_group_name_H-M 'P 1 21/c 1'
_symmetry_Int_Tables_number 14
loop_
_symmetry_equiv_pos_as_xyz
'x,y,z'
'-x,-y,-z'
'-x,y+1/2,-z+1/2'
'x,-y+1/2,z+1/2'
loop_
_atom_site_label
_atom_site_fract_x
_atom_site_fract_y
_atom_site_fract_z
Li1 0.000 0.000 0.000
Bi1 0.248 0.055 0.751
Bi2 0.500 0.000 0.500
O1 0.127 0.164 0.451
O2 0.289 0.695 0.441
O3 0.376 0.052 0.246
```

=====

Computed energies relative to the best structure, in eV/atom: model A 0.043; model B 0.000

=====

Model A:
Li4Bi2O5: optimized geometry, PBE-GGA.

```
data_Li4Bi2O5
_cell_length_a 5.639
_cell_length_b 7.644
_cell_length_c 7.825
_cell_angle_alpha 89.43
_cell_angle_beta 70.27
_cell_angle_gamma 70.88
_symmetry_space_group_name_H-M 'P -1'
_symmetry_Int_Tables_number 2
loop_
_symmetry_equiv_pos_as_xyz
'x,y,z'
'-x,-y,-z'
loop_
_atom_site_label
_atom_site_fract_x
_atom_site_fract_y
_atom_site_fract_z
Li1 0.129 0.171 0.170
Li2 0.133 0.818 0.469
Li3 0.161 0.496 0.848
Li4 0.271 0.755 0.088
Bi1 0.323 0.084 0.748
Bi2 0.344 0.387 0.382
O1 0.026 0.010 0.688
O2 0.034 0.606 0.636
O3 0.036 0.285 0.962
O4 0.433 0.611 0.257
O5 0.483 0.843 0.873
```

=====

Model B:
Li4Bi2O5: optimized geometry, PBE-GGA.

```
data_Li4Bi2O5
_cell_length_a 13.803
_cell_length_b 4.653
_cell_length_c 8.978
_cell_angle_alpha 90.00
_cell_angle_beta 90.00
_cell_angle_gamma 90.00
_symmetry_space_group_name_H-M 'P n n a'
_symmetry_Int_Tables_number 52
loop_
_symmetry_equiv_pos_as_xyz
'x,y,z'
'-x,-y,-z'
'-x+1/2,-y,z'
'x+1/2,y,-z'
'x,-y+1/2,-z+1/2'
'-x,y+1/2,z+1/2'
'-x+1/2,y+1/2,-z+1/2'
'x+1/2,-y+1/2,z+1/2'
loop_
_atom_site_label
_atom_site_fract_x
_atom_site_fract_y
_atom_site_fract_z
Li1 0.006 0.059 0.138
Li2 0.125 0.750 0.250
Li3 0.250 0.000 0.118
Bi1 0.127 0.039 0.534
O1 0.028 0.003 0.351
O2 0.118 0.515 0.494
O3 0.250 0.000 0.358
```

=====

Computed energies relative to the best structure, in eV/atom: model A 0.000; model B 0.032